Ni3Mo2Ir: relaxed, PBE.

Geometry as extended XYZ:
```
12
Lattice="5.749 -1.885 0.000 5.749 1.885 0.000 -3.870 0.000 7.319" Properties=species:S:1:pos:R:3 pbc="T T T"
Ni -0.962 0.000 2.819
Ni 0.953 0.000 4.481
Ni 2.865 0.000 2.804
Ni 4.763 0.000 4.515
Ni 6.675 0.000 2.837
Ni 8.589 0.000 4.500
Mo -0.968 0.000 6.207
Mo 4.791 0.000 1.086
Mo 2.837 0.000 6.233
Mo 8.595 0.000 1.112
Ir 0.953 0.000 0.996
Ir 6.674 0.000 6.323
```

Summary:
* symmetry: C2/m, No. 12
* ΔE_f: -0.014 eV per atom
* total moment: 0.00 Bohr magnetons per cell
* V: 13.2 Å³ per atom

KRb2F: relaxed, PBE.

Geometry as extended XYZ:
```
4
Lattice="2.192 1.265 11.489 -2.192 1.265 11.489 0.000 -2.531 11.489" Properties=species:S:1:pos:R:3 pbc="T T T"
K 0.000 0.000 0.000
Rb 0.000 0.000 7.337
Rb 0.000 0.000 15.654
F 0.000 0.000 28.737
```

Summary:
* symmetry: R3m, No. 160
* formation energy from raw total energies: -1.26 eV per atom
* total moment: 0.00 Bohr magnetons per cell
* V: 47.8 Å³ per atom

PuRuPt: relaxed, PBE.

Geometry as extended XYZ:
```
6
Lattice="-2.663 2.676 3.867 2.663 -2.676 3.867 2.663 2.676 -3.867" Properties=species:S:1:pos:R:3 pbc="T T T"
Pu 0.000 1.338 0.962
Pu 2.663 1.338 2.905
Ru 1.331 1.338 -1.934
Ru 1.331 -1.338 1.934
Pt 2.663 0.000 0.000
Pt 0.000 0.000 3.867
```

Summary:
* symmetry: Imma, No. 74
* ΔE_f: -0.492 eV per atom
* total moment: 9.23 Bohr magnetons per cell
* V: 18.4 Å³ per atom

AcZn4Pd: relaxed, PBE.

Geometry as extended XYZ:
```
12
Lattice="8.050 0.000 0.000 0.000 4.155 0.000 0.000 0.000 7.295" Properties=species:S:1:pos:R:3 pbc="T T T"
Ac 2.013 0.000 0.782
Ac 6.038 0.000 6.513
Zn 0.000 0.000 3.648
Zn 0.405 2.078 5.593
Zn 2.013 2.078 3.301
Zn 3.620 2.078 5.593
Zn 4.025 0.000 3.648
Zn 4.430 2.078 1.703
Zn 6.038 2.078 3.994
Zn 7.645 2.078 1.703
Pd 2.013 0.000 5.109
Pd 6.038 0.000 2.187
```

Summary:
* symmetry: Pmma, No. 51
* ΔE_f: -0.366 eV per atom
* total moment: 0.00 Bohr magnetons per cell
* V: 20.3 Å³ per atom

PmPr3Nd4Te8: relaxed, PBE.

Geometry as extended XYZ:
```
16
Lattice="4.511 2.604 7.354 -4.511 2.604 7.354 0.000 -5.209 7.354" Properties=species:S:1:pos:R:3 pbc="T T T"
Pm 0.000 0.000 0.000
Pr -2.255 -1.302 7.354
Pr -2.255 1.302 14.708
Pr 0.000 2.604 7.354
Nd -4.511 0.000 11.031
Nd -2.255 1.302 3.677
Nd 2.255 1.302 3.677
Nd 0.000 0.000 11.031
Te -2.272 -1.312 12.863
Te 0.000 0.000 5.496
Te 0.000 -2.623 9.199
Te -2.272 1.312 9.199
Te 2.272 -1.312 12.863
Te 0.000 2.623 12.863
Te 0.000 0.000 16.567
Te 2.272 1.312 9.199
```

Summary:
* symmetry: R-3m, No. 166
* formation energy from raw total energies: -1.42 eV per atom
* total moment: 0.00 Bohr magnetons per cell
* V: 32.4 Å³ per atom

GeRuSN2: relaxed, PBE.

Geometry as extended XYZ:
```
5
Lattice="3.610 0.000 0.000 0.000 3.610 0.000 0.000 0.000 5.749" Properties=species:S:1:pos:R:3 pbc="T T T"
Ge 0.000 0.000 0.000
Ru 1.805 1.805 2.875
S 0.000 0.000 2.875
N 0.000 1.805 0.000
N 1.805 0.000 0.000
```

Summary:
* symmetry: P4/mmm, No. 123
* formation energy from raw total energies: 1.45 eV per atom
* total moment: 3.45 Bohr magnetons per cell
* V: 15.0 Å³ per atom

PmHo2In: relaxed, PBE.

Geometry as extended XYZ:
```
4
Lattice="1.798 1.038 10.911 -1.798 1.038 10.911 0.000 -2.076 10.911" Properties=species:S:1:pos:R:3 pbc="T T T"
Pm 0.000 0.000 0.000
Ho 0.000 0.000 18.891
Ho 0.000 0.000 24.767
In 0.000 0.000 5.451
```

Summary:
* symmetry: R3m, No. 160
* ΔE_f: -0.135 eV per atom
* total moment: 0.00 Bohr magnetons per cell
* V: 30.6 Å³ per atom

Ce2Ni4HgGe3: relaxed, PBE.

Geometry as extended XYZ:
```
10
Lattice="4.165 0.000 0.000 0.000 4.165 0.000 0.000 0.000 10.020" Properties=species:S:1:pos:R:3 pbc="T T T"
Ce 0.000 2.082 2.373
Ce 2.082 0.000 7.647
Ni 0.000 0.000 0.000
Ni 0.000 2.082 6.497
Ni 2.082 0.000 3.523
Ni 2.082 2.082 0.000
Hg 0.000 0.000 5.010
Ge 0.000 2.082 8.815
Ge 2.082 0.000 1.205
Ge 2.082 2.082 5.010
```

Summary:
* symmetry: P-4m2, No. 115
* ΔE_f: -0.525 eV per atom
* total moment: 0.66 Bohr magnetons per cell
* V: 17.4 Å³ per atom

Ho5In2H: relaxed, PBE.

Geometry as extended XYZ:
```
8
Lattice="-3.445 3.445 4.476 3.445 -3.445 4.476 3.445 3.445 -4.476" Properties=species:S:1:pos:R:3 pbc="T T T"
Ho 0.000 0.000 0.000
Ho 1.734 1.734 2.197
Ho 1.712 -1.712 6.673
Ho -1.712 1.712 6.673
Ho 1.712 1.712 6.673
In 3.445 0.000 4.448
In 0.000 3.445 4.448
H 0.000 0.000 2.219
```

Summary:
* symmetry: I4mm, No. 107
* total DFT energy (no corrections): -33.21 eV for the cell shown
* total moment: 0.00 Bohr magnetons per cell
* V: 26.6 Å³ per atom

Ti6Ga10Mo: relaxed, PBE.

Geometry as extended XYZ:
```
17
Lattice="7.726 0.000 0.000 -3.863 6.691 0.000 0.000 0.000 5.382" Properties=species:S:1:pos:R:3 pbc="T T T"
Ti -1.467 2.541 1.592
Ti -2.396 4.150 3.790
Ti 2.935 0.000 1.592
Ti 1.467 2.541 3.790
Ti 4.792 0.000 3.790
Ti 2.396 4.150 1.592
Ga -1.008 1.745 4.368
Ga -2.855 4.946 1.014
Ga 2.015 0.000 4.368
Ga 1.008 1.745 1.014
Ga 0.000 4.461 0.000
Ga 0.000 4.461 2.691
Ga 3.863 2.230 0.000
Ga 3.863 2.230 2.691
Ga 5.711 0.000 1.014
Ga 2.855 4.946 4.368
Mo 0.000 0.000 2.691
```

Summary:
* symmetry: P-31m, No. 162
* ΔE_f: -0.257 eV per atom
* total moment: 0.00 Bohr magnetons per cell
* V: 16.4 Å³ per atom

KPPdN2: relaxed, PBE.

Geometry as extended XYZ:
```
5
Lattice="3.994 0.000 0.000 0.000 3.994 0.000 0.000 0.000 6.505" Properties=species:S:1:pos:R:3 pbc="T T T"
K 0.000 0.000 0.000
P 1.997 1.997 0.000
Pd 0.000 0.000 3.253
N 0.000 1.997 3.253
N 1.997 0.000 3.253
```

Summary:
* symmetry: P4/mmm, No. 123
* formation energy from raw total energies: 1.77 eV per atom
* total moment: 2.28 Bohr magnetons per cell
* V: 20.8 Å³ per atom

NaInCuAu: relaxed, PBE.

Geometry as extended XYZ:
```
4
Lattice="0.000 3.354 3.354 3.354 0.000 3.354 3.354 3.354 0.000" Properties=species:S:1:pos:R:3 pbc="T T T"
Na 0.000 0.000 0.000
In 3.354 3.354 3.354
Cu 5.032 5.032 5.032
Au 1.677 1.677 1.677
```

Summary:
* symmetry: F-43m, No. 216
* ΔE_f: -0.056 eV per atom
* total moment: 0.00 Bohr magnetons per cell
* V: 18.9 Å³ per atom

PaNbIr2: relaxed, PBE.

Geometry as extended XYZ:
```
4
Lattice="4.241 0.000 0.000 0.000 4.241 0.000 0.000 0.000 4.027" Properties=species:S:1:pos:R:3 pbc="T T T"
Pa 0.000 0.000 0.000
Nb 2.120 2.120 0.000
Ir 0.000 2.120 2.013
Ir 2.120 0.000 2.013
```

Summary:
* symmetry: P4/mmm, No. 123
* ΔE_f: -0.534 eV per atom
* total moment: 0.52 Bohr magnetons per cell
* V: 18.1 Å³ per atom